The following is a PBE calculation of a geometry-optimized CdTe structure, from the Alexandria database.

Structure (POSCAR):
```
CdTe
1.0
4.672 0.000 0.000
0.000 14.454 0.000
0.000 0.000 7.007
Cd Te
6 6
direct
0.250 0.107 0.077
0.250 0.393 0.077
0.250 0.750 0.413
0.750 0.250 0.587
0.750 0.607 0.923
0.750 0.893 0.923
0.250 0.250 0.353
0.250 0.595 0.158
0.250 0.905 0.158
0.750 0.095 0.842
0.750 0.405 0.842
0.750 0.750 0.647
```

Summary:
**Total magnetic moment**: 0.000 μB per atom
**Formation energy without anion corrections**: -76 kJ/mol of formula units